# ZrZnIn2

Crystalline ZrZnIn2 at its relaxed geometry (PBE-GGA, the Open Quantum Materials Database).

a b c (Å): 4.978 4.978 4.978
angles (deg): 60.00 60.00 60.00
Sites, in units of the cell vectors:
1 In 0.000 0.000 0.000
2 Zn 0.750 0.750 0.750
3 Zr 0.500 0.500 0.500
4 In 0.250 0.250 0.250

Results
electronic total energy = -3.6603 eV per atom
space-group type = F-43m